Here is an optimized crystal structure of Si3TeS from Alexandria. Energies are from PBE-GGA.

The structure in extended XYZ format:
```
5
Lattice="4.7950 0.0000 0.0000 0.0000 4.7950 0.0000 0.0000 0.0000 4.7950" Properties=species:S:1:pos:R:3 pbc="T T T"
Si 0.0000 0.0000 2.3975
Si 0.0000 2.3975 0.0000
Si 2.3975 0.0000 0.0000
Te 2.3975 2.3975 2.3975
S 0.0000 0.0000 0.0000
```

Values from the calculation:
Symmetry: Pm-3m (221)
Crystal system: cubic
Distance to the lowest polymorph of the same formula: 0 kJ/mol of formula units
Uncorrected formation energy: 794.3 meV per atom